Cr4CuAg after structural relaxation. Source: Alexandria via LeMat-Bulk, functional PBE-GGA.

```
data_Cr4CuAg
_chemical_formula_sum 'Cr4 Cu1 Ag1'
_cell_length_a 4.793
_cell_length_b 4.793
_cell_length_c 4.793
_cell_angle_alpha 60.00
_cell_angle_beta 60.00
_cell_angle_gamma 60.00
_symmetry_space_group_name_H-M 'P 1'
_symmetry_Int_Tables_number 1
loop_
_symmetry_equiv_pos_as_xyz
'x,y,z'
loop_
_atom_site_label
_atom_site_type_symbol
_atom_site_fract_x
_atom_site_fract_y
_atom_site_fract_z
Cr1 Cr 0.623 0.623 0.130
Cr2 Cr 0.623 0.130 0.623
Cr3 Cr 0.623 0.623 0.623
Cr4 Cr 0.130 0.623 0.623
Cu1 Cu 0.250 0.250 0.250
Ag1 Ag 0.000 0.000 0.000
```

Calculated values
**Formation enthalpy at 0 K**: 0.500 eV/atom
**Calculated density**: 8.090 g cm⁻³
**M_tot**: 0.000 μB/f.u.
**Calculated total energy**: -42.441 eV/cell